First-principles (PBE+U) data for a relaxed KZrCrO4 crystal, as listed in the Alexandria database.

Unit cell a=6.5655 b=6.5655 c=6.5655 alpha=120.59 beta=118.31 gamma=90.96
Sites, in units of the cell vectors:
K (0.3839, 0.1339, 0.2500)
K (0.6161, 0.8661, 0.7500)
Zr (0.0000, 0.5000, 0.5000)
Zr (0.5000, 0.5000, 0.0000)
Cr (0.0000, 0.0000, 0.5000)
Cr (0.0000, 0.5000, 0.0000)
O (0.1712, 0.7284, 0.4428)
O (0.2143, 0.2716, 0.9428)
O (0.2282, 0.2726, 0.5443)
O (0.2282, 0.6839, 0.9557)
O (0.7718, 0.3161, 0.0443)
O (0.7718, 0.7274, 0.4557)
O (0.7857, 0.7284, 0.0572)
O (0.8288, 0.2716, 0.5572)

* symmetry: No. 74
* calculated total energy: -106.6 eV/cell
* total magnetization: 3.0 μB per formula unit